[1]
The following is a DFT calculation (PBE) of BaSrHg3 after structural relaxation.

a = 6.020 Å, b = 6.020 Å, c = 6.020 Å
α = 90.00°, β = 90.00°, γ = 90.00°
Space group Pm-3m (No. 221)
One atom of each set of equivalent atoms:
Ba: 0.000 0.000 0.000 x1
Sr: 0.500 0.500 0.500 x1
Hg: 0.000 0.500 0.500 x3

Output
E above lowest polymorph = 402.7 meV/atom
ρ = 6293 kg/m³
Energy of formation = -2.42 kcal/mol of atoms

***

[2]
The following is a DFT calculation (PBE) of Ba2Sr3Hg2 after structural relaxation.

a = 14.707 Å, b = 4.441 Å, c = 10.915 Å
α = 90.00°, β = 116.90°, γ = 90.00°
Space group C2/m (No. 12)
One atom of each set of equivalent atoms:
Ba: 0.164 0.000 0.307 x4
Sr: 0.000 0.500 0.500 x2
Sr: 0.121 0.500 0.936 x4
Hg: 0.165 0.000 0.734 x4

Output
ρ = 4904 kg/m³
Energy of formation = -6.94 kcal/mol of atoms

***

[3]
The following is a DFT calculation (PBE) of Ba8Sr2Hg after structural relaxation.

a = 22.552 Å, b = 6.569 Å, c = 8.416 Å
α = 90.00°, β = 94.06°, γ = 90.00°
Space group C2/m (No. 12)
One atom of each set of equivalent atoms:
Ba: 0.025 0.000 0.273 x4
Ba: 0.087 0.500 0.882 x4
Ba: 0.141 0.500 0.385 x4
Ba: 0.173 0.000 0.658 x4
Sr: 0.217 0.000 0.147 x4
Hg: 0.000 0.500 0.500 x2

Output
ρ = 3938 kg/m³
Energy of formation = -1.20 kcal/mol of atoms

***

[4]
The following is a DFT calculation (PBE) of BaSr2Hg after structural relaxation.

a = 5.432 Å, b = 9.995 Å, c = 7.250 Å
α = 90.00°, β = 111.93°, γ = 90.00°
Space group P2_1/m (No. 11)
One atom of each set of equivalent atoms:
Ba: 0.051 0.250 0.102 x2
Sr: 0.347 0.052 0.694 x4
Hg: 0.220 0.750 0.441 x2

Output
ρ = 4667 kg/m³
Energy of formation = -5.79 kcal/mol of atoms

***

[5]
The following is a DFT calculation (PBE) of Ba4SrHg after structural relaxation.

a = 4.298 Å, b = 4.298 Å, c = 17.423 Å
α = 90.00°, β = 90.00°, γ = 90.00°
Space group P4/mmm (No. 123)
One atom of each set of equivalent atoms:
Ba: 0.000 0.000 0.114 x2
Ba: 0.500 0.500 0.315 x2
Sr: 0.000 0.000 0.500 x1
Hg: 0.500 0.500 0.000 x1

Output
E above lowest polymorph = 0.0 meV/atom
ρ = 4322 kg/m³
Energy of formation = -3.88 kcal/mol of atoms

***

[6]
The following is a DFT calculation (PBE) of BaSr2Hg after structural relaxation.

a = 7.638 Å, b = 12.954 Å, c = 4.133 Å
α = 90.00°, β = 117.38°, γ = 90.00°
Space group C2/m (No. 12)
One atom of each set of equivalent atoms:
Ba: 0.000 0.000 0.000 x2
Sr: 0.250 0.250 0.500 x4
Hg: 0.000 0.500 0.000 x2

Output
ρ = 4694 kg/m³
Energy of formation = -1.22 kcal/mol of atoms

***

[7]
The following is a DFT calculation (PBE) of Ba2Sr6Hg after structural relaxation.

a = 4.445 Å, b = 19.158 Å, c = 10.954 Å
α = 90.00°, β = 90.00°, γ = 90.00°
Space group Amm2 (No. 38)
One atom of each set of equivalent atoms:
Ba: 0.000 0.177 0.000 x4
Sr: 0.000 0.000 0.753 x2
Sr: 0.000 0.112 0.372 x4
Sr: 0.500 0.000 0.099 x2
Sr: 0.500 0.173 0.679 x4
Hg: 0.500 0.000 0.516 x2

Output
E above lowest polymorph = 0.0 meV/atom
ρ = 3564 kg/m³
Energy of formation = -1.69 kcal/mol of atoms

***

[8]
The following is a DFT calculation (PBE) of BaSr2Hg2 after structural relaxation.

a = 6.339 Å, b = 5.461 Å, c = 12.178 Å
α = 90.00°, β = 100.57°, γ = 90.00°
Space group P2_1/m (No. 11)
One atom of each set of equivalent atoms:
Ba: 0.092 0.250 0.287 x2
Sr: 0.258 0.250 0.967 x2
Sr: 0.382 0.250 0.622 x2
Hg: 0.156 0.750 0.478 x2
Hg: 0.273 0.750 0.135 x2

Output
E above lowest polymorph = 31.2 meV/atom
ρ = 5719 kg/m³
Energy of formation = -9.05 kcal/mol of atoms

***

[9]
The following is a DFT calculation (PBE) of BaSr4Hg2 after structural relaxation.

a = 6.396 Å, b = 6.396 Å, c = 16.463 Å
α = 90.00°, β = 90.00°, γ = 90.00°
Space group I4/mmm (No. 139)
One atom of each set of equivalent atoms:
Ba: 0.000 0.000 0.000 x2
Sr: 0.000 0.000 0.221 x4
Sr: 0.000 0.500 0.000 x4
Hg: 0.000 0.000 0.411 x4

Output
E above lowest polymorph = 538.0 meV/atom
ρ = 4384 kg/m³
Energy of formation = 5.97 kcal/mol of atoms

***

[10]
The following is a DFT calculation (PBE) of Ba3Sr5Hg2 after structural relaxation.

a = 14.513 Å, b = 14.513 Å, c = 4.697 Å
α = 90.00°, β = 90.00°, γ = 90.00°
Space group P4/mbm (No. 127)
One atom of each set of equivalent atoms:
Ba: 0.000 0.000 0.000 x2
Ba: 0.186 0.314 0.000 x4
Sr: 0.000 0.500 0.500 x2
Sr: 0.061 0.776 0.500 x8
Hg: 0.122 0.622 0.000 x4

Output
ρ = 4200 kg/m³
Energy of formation = -4.34 kcal/mol of atoms

***

[11]
The following is a DFT calculation (PBE) of BaSr2Hg after structural relaxation.

a = 4.4084 Å, b = 4.4084 Å, c = 34.8368 Å
α = 90.00°, β = 90.00°, γ = 120.00°
Space group R3m (No. 160, hexagonal axes)
One atom of each set of equivalent atoms:
Ba: 0.0000 0.0000 0.0000 x3
Sr: 0.0000 0.0000 0.5618 x3
Sr: 0.0000 0.0000 0.7711 x3
Hg: 0.0000 0.0000 0.1665 x3

Output
ρ = 4360 kg/m³
Energy of formation = -4.85 kcal/mol of atoms

***

[12]
The following is a DFT calculation (PBE) of BaSrHg after structural relaxation.

a = 15.044 Å, b = 4.405 Å, c = 9.839 Å
α = 90.00°, β = 124.62°, γ = 90.00°
Space group Cm (No. 8)
One atom of each set of equivalent atoms:
Ba: 0.000 0.000 0.000 x2
Ba: 0.246 0.000 0.529 x2
Sr: 0.079 0.500 0.681 x2
Sr: 0.327 0.500 0.212 x2
Hg: 0.029 0.500 0.301 x2
Hg: 0.280 0.000 0.916 x2

Output
E above lowest polymorph = 26.0 meV/atom
ρ = 5267 kg/m³
Energy of formation = -8.01 kcal/mol of atoms

***

[13]
The following is a DFT calculation (PBE) of Ba2Sr3Hg4 after structural relaxation.

a = 9.268 Å, b = 8.990 Å, c = 8.828 Å
α = 90.00°, β = 110.77°, γ = 90.00°
Space group P2_1/c (No. 14)
One atom of each set of equivalent atoms:
Ba: 0.183 0.175 0.057 x4
Sr: 0.244 0.665 0.247 x4
Sr: 0.500 0.000 0.500 x2
Hg: 0.086 0.537 0.860 x4
Hg: 0.494 0.132 0.869 x4

Output
ρ = 6470 kg/m³
Energy of formation = -10.53 kcal/mol of atoms

***

[14]
The following is a DFT calculation (PBE) of BaSr2Hg2 after structural relaxation.

a = 6.055 Å, b = 6.055 Å, c = 12.014 Å
α = 90.00°, β = 90.00°, γ = 90.00°
Space group I4/mmm (No. 139)
One atom of each set of equivalent atoms:
Ba: 0.000 0.000 0.000 x2
Sr: 0.000 0.000 0.342 x4
Hg: 0.000 0.500 0.250 x4

Output
E above lowest polymorph = 169.6 meV/atom
ρ = 5382 kg/m³
Energy of formation = -5.85 kcal/mol of atoms

***

[15]
The following is a DFT calculation (PBE) of BaSrHg after structural relaxation.

a = 4.6077 Å, b = 4.6077 Å, c = 7.9464 Å
α = 90.00°, β = 90.00°, γ = 120.00°
Space group P3m1 (No. 156)
One atom of each set of equivalent atoms:
Ba: 0.0000 0.0000 0.0000 x1
Sr: 0.3333 0.6667 0.5278 x1
Hg: 0.6667 0.3333 0.2813 x1

Output
E above lowest polymorph = 100.4 meV/atom
ρ = 4836 kg/m³
Energy of formation = -6.29 kcal/mol of atoms

***

[16]
The following is a DFT calculation (PBE) of Ba2Sr3Hg3 after structural relaxation.

a = 4.126 Å, b = 5.557 Å, c = 28.812 Å
α = 90.00°, β = 90.00°, γ = 90.00°
Space group Immm (No. 71)
One atom of each set of equivalent atoms:
Ba: 0.000 0.000 0.200 x4
Sr: 0.000 0.000 0.000 x2
Sr: 0.000 0.500 0.096 x4
Hg: 0.000 0.000 0.500 x2
Hg: 0.000 0.500 0.399 x4

Output
ρ = 5727 kg/m³
Energy of formation = -8.40 kcal/mol of atoms

***

[17]
The following is a DFT calculation (PBE) of BaSr3Hg after structural relaxation.

a = 6.967 Å, b = 6.967 Å, c = 6.967 Å
α = 90.00°, β = 90.00°, γ = 90.00°
Space group Pm-3m (No. 221)
One atom of each set of equivalent atoms:
Ba: 0.000 0.000 0.000 x1
Sr: 0.000 0.000 0.500 x3
Hg: 0.500 0.500 0.500 x1

Output
E above lowest polymorph = 944.7 meV/atom
ρ = 2950 kg/m³
Energy of formation = 16.82 kcal/mol of atoms

***

[18]
The following is a DFT calculation (PBE) of BaSr3Hg2 after structural relaxation.

a = 4.087 Å, b = 4.087 Å, c = 14.497 Å
α = 90.00°, β = 90.00°, γ = 90.00°
Space group P4/mmm (No. 123)
One atom of each set of equivalent atoms:
Ba: 0.000 0.000 0.000 x1
Sr: 0.500 0.500 0.233 x2
Sr: 0.500 0.500 0.500 x1
Hg: 0.000 0.000 0.359 x2

Output
E above lowest polymorph = 0.0 meV/atom
ρ = 5495 kg/m³
Energy of formation = -8.29 kcal/mol of atoms

***

[19]
The following is a DFT calculation (PBE) of BaSr2Hg2 after structural relaxation.

a = 9.240 Å, b = 9.240 Å, c = 4.541 Å
α = 90.00°, β = 90.00°, γ = 90.00°
Space group P4/mbm (No. 127)
One atom of each set of equivalent atoms:
Ba: 0.000 0.000 0.000 x2
Sr: 0.154 0.346 0.500 x4
Hg: 0.138 0.638 0.000 x4

Output
E above lowest polymorph = 0.0 meV/atom
ρ = 6113 kg/m³
Energy of formation = -9.77 kcal/mol of atoms

***

[20]
The following is a DFT calculation (PBE) of BaSr2Hg after structural relaxation.

a = 4.104 Å, b = 4.104 Å, c = 10.731 Å
α = 90.00°, β = 90.00°, γ = 90.00°
Space group P4/mmm (No. 123)
One atom of each set of equivalent atoms:
Ba: 0.000 0.000 0.000 x1
Sr: 0.500 0.500 0.321 x2
Hg: 0.000 0.000 0.500 x1

Output
ρ = 4715 kg/m³
Energy of formation = -6.08 kcal/mol of atoms